Entry 1:
# FeSiF2 PBE+U optimized geometry
# VASP energy = -68.426 eV/cell
# relative energy among the computed polymorphs = 516 meV/atom
data_FeSiF2
_chemical_formula_sum 'Fe4 Si4 F8'
_space_group_name_H-M_alt 'P 1'
_space_group_IT_number 1
_space_group_name_Hall 'P 1'
_cell_length_a 5.902
_cell_length_b 5.902
_cell_length_c 5.902
_cell_angle_alpha 90.00
_cell_angle_beta 90.00
_cell_angle_gamma 90.00
loop_
_atom_site_label
_atom_site_fract_x
_atom_site_fract_y
_atom_site_fract_z
_atom_site_occupancy
Fe1 0.000 0.000 0.000 1
Fe2 0.000 0.500 0.500 1
Fe3 0.500 0.000 0.500 1
Fe4 0.500 0.500 0.000 1
Si1 0.000 0.000 0.500 1
Si2 0.000 0.500 0.000 1
Si3 0.500 0.000 0.000 1
Si4 0.500 0.500 0.500 1
F1 0.250 0.250 0.250 1
F2 0.250 0.250 0.750 1
F3 0.250 0.750 0.250 1
F4 0.250 0.750 0.750 1
F5 0.750 0.250 0.250 1
F6 0.750 0.250 0.750 1
F7 0.750 0.750 0.250 1
F8 0.750 0.750 0.750 1

---

Entry 2:
# CdNiTe2O6 PBE+U optimized geometry
# VASP energy = -49.735 eV/cell
data_CdNiTe2O6
_chemical_formula_sum 'Cd1 Ni1 Te2 O6'
_space_group_name_H-M_alt 'P 1'
_space_group_IT_number 1
_space_group_name_Hall 'P 1'
_cell_length_a 5.355
_cell_length_b 5.665
_cell_length_c 5.985
_cell_angle_alpha 117.95
_cell_angle_beta 91.32
_cell_angle_gamma 113.52
loop_
_atom_site_label
_atom_site_fract_x
_atom_site_fract_y
_atom_site_fract_z
_atom_site_occupancy
Cd1 0.000 0.000 0.000 1
Ni1 0.573 0.097 0.572 1
Te1 0.236 0.451 0.654 1
Te2 0.715 0.468 0.186 1
O1 0.217 0.075 0.394 1
O2 0.425 0.084 0.905 1
O3 0.475 0.623 0.377 1
O4 0.615 0.549 0.836 1
O5 0.798 0.251 0.341 1
O6 0.964 0.245 0.803 1